VASP calculation (GGA-PBE) on a relaxed structure of CuIr6Rh5.

```
CuIr6Rh5
1.0
-1.924 3.852 5.771
1.924 -3.852 5.771
1.924 3.852 -5.771
Cu Ir Rh
1 6 5
Cartesian
0.000 0.000 0.000 Cu
1.924 -1.928 3.854 Ir
1.924 1.938 0.000 Ir
0.000 1.924 1.917 Ir
1.924 1.928 3.854 Ir
0.000 1.914 5.771 Ir
0.000 5.780 1.917 Ir
1.924 0.000 1.929 Rh
0.000 0.000 3.827 Rh
0.000 3.852 0.000 Rh
0.000 0.000 7.716 Rh
0.000 3.852 3.842 Rh
```

Output
The value obtained for the magnetization is 0.0 μB per formula unit. As for the energy of formation: 0.04 eV/atom.